# CsMgTl4 PBE optimized geometry
# Spin magnetization (μB/cell): 0.000
# DOS at the Fermi energy (states/eV per atom): 0.37
# E_form (eV per atom): 0.068
# Density (g/cm³): 7.68
# Offset from the most stable computed form (meV/atom): 122
# V (Å³ per cell): 843.09
# Calculated total energy (eV/atom): -1.92
data_CsMgTl4
_chemical_formula_sum 'Cs4 Mg4 Tl16'
_space_group_name_H-M_alt 'F -4 3 m'
_space_group_IT_number 216
_space_group_name_Hall 'F -4 2 3'
_cell_length_a 9.447
_cell_length_b 9.447
_cell_length_c 9.447
_cell_angle_alpha 90.00
_cell_angle_beta 90.00
_cell_angle_gamma 90.00
loop_
_atom_site_label
_atom_site_type_symbol
_atom_site_fract_x
_atom_site_fract_y
_atom_site_fract_z
_atom_site_occupancy
Cs1 Cs 0.000 0.000 0.000 1
Mg1 Mg 0.250 0.250 0.750 1
Tl1 Tl 0.124 0.124 0.376 1

=====

# Ba2NiPb PBE optimized geometry
# Spin magnetization (μB/cell): 0.001
# DOS at the Fermi energy (states/eV per atom): 1.02
# E_form (eV per atom): -0.102
# Density (g/cm³): 6.70
# V (Å³ per cell): 134.00
# Calculated total energy (eV/atom): -3.44
data_Ba2NiPb
_chemical_formula_sum 'Ba2 Ni1 Pb1'
_space_group_name_H-M_alt 'P 4/m m m'
_space_group_IT_number 123
_space_group_name_Hall '-P 4 2'
_cell_length_a 3.856
_cell_length_b 3.856
_cell_length_c 9.014
_cell_angle_alpha 90.00
_cell_angle_beta 90.00
_cell_angle_gamma 90.00
loop_
_atom_site_label
_atom_site_type_symbol
_atom_site_fract_x
_atom_site_fract_y
_atom_site_fract_z
_atom_site_occupancy
Ba1 Ba 0.000 0.000 0.210 1
Ni1 Ni 0.500 0.500 0.000 1
Pb1 Pb 0.500 0.500 0.500 1

=====

# Zn3BiTe PBE optimized geometry
# Spin magnetization (μB/cell): 0.000
# DOS at the Fermi energy (states/eV per atom): 0.43
# Density (g/cm³): 5.86
# Offset from the most stable computed form (meV/atom): 0
# V (Å³ per cell): 150.91
# Calculated total energy (eV/atom): -1.74
# Raw formation energy (eV/atom): 0.43
data_Zn3BiTe
_chemical_formula_sum 'Zn3 Bi1 Te1'
_space_group_name_H-M_alt 'P m -3 m'
_space_group_IT_number 221
_space_group_name_Hall '-P 4 2 3'
_cell_length_a 5.324
_cell_length_b 5.324
_cell_length_c 5.324
_cell_angle_alpha 90.00
_cell_angle_beta 90.00
_cell_angle_gamma 90.00
loop_
_atom_site_label
_atom_site_type_symbol
_atom_site_fract_x
_atom_site_fract_y
_atom_site_fract_z
_atom_site_occupancy
Zn1 Zn 0.000 0.000 0.500 1
Bi1 Bi 0.000 0.000 0.000 1
Te1 Te 0.500 0.500 0.500 1

=====

# PuZnSbAu PBE optimized geometry
# Spin magnetization (μB/cell): 23.013
# DOS at the Fermi energy (states/eV per atom): 3.02
# Density (g/cm³): 11.58
# V (Å³ per cell): 360.15
# Calculated total energy (eV/atom): -6.02
# Raw formation energy (eV/atom): -0.27
data_PuZnSbAu
_chemical_formula_sum 'Pu4 Zn4 Sb4 Au4'
_space_group_name_H-M_alt 'F -4 3 m'
_space_group_IT_number 216
_space_group_name_Hall 'F -4 2 3'
_cell_length_a 7.115
_cell_length_b 7.115
_cell_length_c 7.115
_cell_angle_alpha 90.00
_cell_angle_beta 90.00
_cell_angle_gamma 90.00
loop_
_atom_site_label
_atom_site_type_symbol
_atom_site_fract_x
_atom_site_fract_y
_atom_site_fract_z
_atom_site_occupancy
Pu1 Pu 0.000 0.000 0.000 1
Zn1 Zn 0.000 0.000 0.500 1
Sb1 Sb 0.250 0.250 0.750 1
Au1 Au 0.250 0.250 0.250 1

=====

# NbBiC3 PBE optimized geometry
# Spin magnetization (μB/cell): 0.077
# DOS at the Fermi energy (states/eV per atom): 0.82
# E_form (eV per atom): 3.260
# Density (g/cm³): 7.02
# Offset from the most stable computed form (meV/atom): 1478
# V (Å³ per cell): 79.89
# Calculated total energy (eV/atom): -5.06
data_NbBiC3
_chemical_formula_sum 'Nb1 Bi1 C3'
_space_group_name_H-M_alt 'P m -3 m'
_space_group_IT_number 221
_space_group_name_Hall '-P 4 2 3'
_cell_length_a 4.307
_cell_length_b 4.307
_cell_length_c 4.307
_cell_angle_alpha 90.00
_cell_angle_beta 90.00
_cell_angle_gamma 90.00
loop_
_atom_site_label
_atom_site_type_symbol
_atom_site_fract_x
_atom_site_fract_y
_atom_site_fract_z
_atom_site_occupancy
Nb1 Nb 0.000 0.000 0.000 1
Bi1 Bi 0.500 0.500 0.500 1
C1 C 0.000 0.500 0.500 1

=====

# Zr4SiTe5 PBE optimized geometry
# Spin magnetization (μB/cell): 0.000
# DOS at the Fermi energy (states/eV per atom): 0.52
# Density (g/cm³): 6.23
# V (Å³ per cell): 549.32
# Calculated total energy (eV/atom): -6.39
# Raw formation energy (eV/atom): -0.86
data_Zr4SiTe5
_chemical_formula_sum 'Zr8 Si2 Te10'
_space_group_name_H-M_alt 'C 1 2/m 1'
_space_group_IT_number 12
_cell_length_a 17.586
_cell_length_b 3.904
_cell_length_c 8.173
_cell_angle_alpha 90.00
_cell_angle_beta 101.72
_cell_angle_gamma 90.00
loop_
_space_group_symop_operation_xyz
'x,y,z'
'-x,-y,-z'
'-x,y,-z'
'x,-y,z'
'x+1/2,y+1/2,z'
'-x+1/2,-y+1/2,-z'
'-x+1/2,y+1/2,-z'
'x+1/2,-y+1/2,z'
loop_
_atom_site_label
_atom_site_type_symbol
_atom_site_fract_x
_atom_site_fract_y
_atom_site_fract_z
_atom_site_occupancy
Zr1 Zr 0.001 0.000 0.275 1
Zr2 Zr 0.154 0.500 0.571 1
Si1 Si 0.000 0.500 0.500 1
Te1 Te 0.000 0.500 0.000 1
Te2 Te 0.166 0.000 0.837 1
Te3 Te 0.171 0.000 0.312 1

=====

# HoCoGe2Pd PBE optimized geometry
# Spin magnetization (μB/cell): 2.355
# DOS at the Fermi energy (states/eV per atom): 0.45
# E_form (eV per atom): -0.647
# Density (g/cm³): 9.17
# V (Å³ per cell): 172.30
# Calculated total energy (eV/atom): -5.87
data_HoCoGe2Pd
_chemical_formula_sum 'Ho2 Co2 Ge4 Pd2'
_space_group_name_H-M_alt 'I -4 m 2'
_space_group_IT_number 119
_space_group_name_Hall 'I -4 -2'
_cell_length_a 4.109
_cell_length_b 4.109
_cell_length_c 10.205
_cell_angle_alpha 90.00
_cell_angle_beta 90.00
_cell_angle_gamma 90.00
loop_
_atom_site_label
_atom_site_type_symbol
_atom_site_fract_x
_atom_site_fract_y
_atom_site_fract_z
_atom_site_occupancy
Ho1 Ho 0.000 0.000 0.000 1
Co1 Co 0.000 0.500 0.750 1
Ge1 Ge 0.000 0.000 0.378 1
Pd1 Pd 0.000 0.500 0.250 1

=====

# CaAc3Rh3 PBE optimized geometry
# Spin magnetization (μB/cell): 0.000
# DOS at the Fermi energy (states/eV per atom): 0.46
# E_form (eV per atom): -0.558
# Density (g/cm³): 8.33
# Offset from the most stable computed form (meV/atom): 0
# V (Å³ per cell): 1231.04
# Calculated total energy (eV/atom): -5.76
data_CaAc3Rh3
_chemical_formula_sum 'Ca6 Ac18 Rh18'
_space_group_name_H-M_alt 'R -3'
_space_group_IT_number 148
_space_group_name_Hall '-R 3'
_cell_length_a 9.0355
_cell_length_b 9.0355
_cell_length_c 17.4114
_cell_angle_alpha 90.00
_cell_angle_beta 90.00
_cell_angle_gamma 120.00
loop_
_atom_site_label
_atom_site_type_symbol
_atom_site_fract_x
_atom_site_fract_y
_atom_site_fract_z
_atom_site_occupancy
Ca1 Ca 0.0000 0.0000 0.1795 1
Ac1 Ac 0.0232 0.7350 0.5967 1
Rh1 Rh 0.0093 0.6301 0.4344 1

=====

# Ac2NiHg3 PBE optimized geometry
# Spin magnetization (μB/cell): 0.000
# DOS at the Fermi energy (states/eV per atom): 0.63
# E_form (eV per atom): -0.378
# Density (g/cm³): 11.12
# Offset from the most stable computed form (meV/atom): 11
# V (Å³ per cell): 1331.73
# Calculated total energy (eV/atom): -2.86
data_Ac2NiHg3
_chemical_formula_sum 'Ac16 Ni8 Hg24'
_space_group_name_H-M_alt 'F m m m'
_space_group_IT_number 69
_space_group_name_Hall '-F 2 2'
_cell_length_a 7.972
_cell_length_b 9.836
_cell_length_c 16.984
_cell_angle_alpha 90.00
_cell_angle_beta 90.00
_cell_angle_gamma 90.00
loop_
_atom_site_label
_atom_site_type_symbol
_atom_site_fract_x
_atom_site_fract_y
_atom_site_fract_z
_atom_site_occupancy
Ac1 Ac 0.249 0.000 0.000 1
Ac2 Ac 0.250 0.250 0.250 1
Ni1 Ni 0.000 0.000 0.335 1
Hg1 Hg 0.000 0.000 0.176 1
Hg2 Hg 0.000 0.236 0.412 1

=====

# Be2PbF2 PBE optimized geometry
# Spin magnetization (μB/cell): 0.000
# DOS at the Fermi energy (states/eV per atom): 0.42
# Density (g/cm³): 5.46
# Offset from the most stable computed form (meV/atom): 0
# V (Å³ per cell): 160.20
# Calculated total energy (eV/atom): -3.63
# Raw formation energy (eV/atom): -0.65
data_Be2PbF2
_chemical_formula_sum 'Be4 Pb2 F4'
_space_group_name_H-M_alt 'I 4/m m m'
_space_group_IT_number 139
_space_group_name_Hall '-I 4 2'
_cell_length_a 3.150
_cell_length_b 3.150
_cell_length_c 16.142
_cell_angle_alpha 90.00
_cell_angle_beta 90.00
_cell_angle_gamma 90.00
loop_
_atom_site_label
_atom_site_type_symbol
_atom_site_fract_x
_atom_site_fract_y
_atom_site_fract_z
_atom_site_occupancy
Be1 Be 0.000 0.500 0.250 1
Pb1 Pb 0.000 0.000 0.000 1
F1 F 0.000 0.000 0.417 1

=====

# HoLuMg PBE optimized geometry
# Spin magnetization (μB/cell): 1.546
# DOS at the Fermi energy (states/eV per atom): 1.45
# E_form (eV per atom): -0.026
# Density (g/cm³): 7.20
# Offset from the most stable computed form (meV/atom): 0
# V (Å³ per cell): 168.08
# Calculated total energy (eV/atom): -3.59
data_HoLuMg
_chemical_formula_sum 'Ho2 Lu2 Mg2'
_space_group_name_H-M_alt 'I 4 m m'
_space_group_IT_number 107
_space_group_name_Hall 'I 4 -2'
_cell_length_a 3.555
_cell_length_b 3.555
_cell_length_c 13.300
_cell_angle_alpha 90.00
_cell_angle_beta 90.00
_cell_angle_gamma 90.00
loop_
_atom_site_label
_atom_site_type_symbol
_atom_site_fract_x
_atom_site_fract_y
_atom_site_fract_z
_atom_site_occupancy
Ho1 Ho 0.000 0.000 0.000 1
Lu1 Lu 0.000 0.000 0.324 1
Mg1 Mg 0.000 0.000 0.664 1

=====

# SrLaB PBE optimized geometry
# Spin magnetization (μB/cell): 0.000
# DOS at the Fermi energy (states/eV per atom): 0.01
# E_form (eV per atom): 0.254
# Density (g/cm³): 4.88
# Offset from the most stable computed form (meV/atom): 233
# V (Å³ per cell): 323.36
# Calculated total energy (eV/atom): -4.18
data_SrLaB
_chemical_formula_sum 'Sr4 La4 B4'
_space_group_name_H-M_alt 'P n m a'
_space_group_IT_number 62
_cell_length_a 8.278
_cell_length_b 5.041
_cell_length_c 7.750
_cell_angle_alpha 90.00
_cell_angle_beta 90.00
_cell_angle_gamma 90.00
loop_
_space_group_symop_operation_xyz
'x,y,z'
'-x,-y,-z'
'-x+1/2,-y,z+1/2'
'x+1/2,y,-z+1/2'
'x+1/2,-y+1/2,-z+1/2'
'-x+1/2,y+1/2,z+1/2'
'-x,y+1/2,-z'
'x,-y+1/2,z'
loop_
_atom_site_label
_atom_site_type_symbol
_atom_site_fract_x
_atom_site_fract_y
_atom_site_fract_z
_atom_site_occupancy
Sr1 Sr 0.058 0.250 0.171 1
La1 La 0.153 0.250 0.603 1
B1 B 0.173 0.750 0.413 1